La2Sn4PtRh3: relaxed, PBE.

Values from the calculation:
* VASP energy: -6.179 eV/atom
* energy relative to the elements: -75 kJ/mol of atoms
* magnetization: 0.00 μB/f.u.

a b c (Å): 4.577 4.577 10.711
angles (deg): 90.00 90.00 90.00
Fractional positions:
La1 0.000 0.500 0.250
La2 0.500 0.000 0.750
Sn1 0.000 0.000 0.000
Sn2 0.000 0.500 0.630
Sn3 0.500 0.000 0.370
Sn4 0.500 0.500 0.000
Pt1 0.000 0.000 0.500
Rh1 0.000 0.500 0.871
Rh2 0.500 0.000 0.129
Rh3 0.500 0.500 0.500



ZnNiH2: relaxed, PBE.

Values from the calculation:
* VASP energy: -3.416 eV/atom
* magnetization: 0.00 μB/f.u.

a b c (Å): 6.461 6.461 6.461
angles (deg): 23.03 23.03 23.03
Fractional positions:
Zn1 0.000 0.000 0.000
Ni1 0.827 0.827 0.827
H1 0.203 0.203 0.203
H2 0.450 0.450 0.450



Mg2IrRu: relaxed, PBE.

Values from the calculation:
* VASP energy: -5.355 eV/atom
* energy relative to the elements: -2 kJ/mol of atoms
* magnetization: 0.46 μB/f.u.

a b c (Å): 4.446 4.446 4.446
angles (deg): 60.00 60.00 60.00
Fractional positions:
Mg1 0.000 0.000 0.000
Mg2 0.250 0.250 0.250
Ir1 0.750 0.750 0.750
Ru1 0.500 0.500 0.500



Tb2Tm4Cd: relaxed, PBE.

Values from the calculation:
* VASP energy: -3.958 eV/atom
* energy relative to the elements: 5 kJ/mol of atoms
* magnetization: 0.00 μB/f.u.

a b c (Å): 8.340 8.340 8.371
angles (deg): 116.66 116.66 23.96
Fractional positions:
Tb1 0.219 0.219 0.142
Tb2 0.781 0.781 0.858
Tm1 0.079 0.079 0.701
Tm2 0.370 0.370 0.605
Tm3 0.630 0.630 0.395
Tm4 0.921 0.921 0.299
Cd1 0.000 0.000 0.000